[1]
ScVIO2: relaxed, PBE+U.

Properties
Polymorph energy (0 for the lowest one) = 0 meV per atom
Calculated volume = 98.11 Å³ per cell
Density = 4.3 g/cm3
Size of the total moment = 3.0 μB per formula unit

Lattice parameters (Å, degrees): 4.0938 4.0938 5.8538 90.00 90.00 90.00
With the nearest neighbours (Å) after each atom.
Fractional positions:
I  0.0000  0.0000  0.5000  4 V 2.89, 2 Sc 2.93
Sc  0.0000  0.0000  0.0000  4 O 2.05
O  0.0000  0.5000  0.0000  2 Sc 2.05
O  0.5000  0.0000  0.0000  2 Sc 2.05
V  0.5000  0.5000  0.5000  4 I 2.89

[2]
ScVIO2: relaxed, PBE+U.

Properties
Polymorph energy (0 for the lowest one) = 237 meV per atom
Calculated volume = 86.38 Å³ per cell
Density = 4.9 g/cm3
Size of the total moment = 2.4 μB per formula unit

Lattice parameters (Å, degrees): 4.0192 4.0192 5.3471 90.00 90.00 90.00
With the nearest neighbours (Å) after each atom.
Fractional positions:
I  0.0000  0.0000  0.5000  2 V 2.67, 4 Sc 2.84
Sc  0.5000  0.5000  0.5000  4 I 2.84
O  0.0000  0.5000  0.0000  2 V 2.01
O  0.5000  0.0000  0.0000  2 V 2.01
V  0.0000  0.0000  0.0000  4 O 2.01

[3]
ScWIO2: relaxed, PBE+U.

Properties
Polymorph energy (0 for the lowest one) = 33 meV per atom
Calculated volume = 104.45 Å³ per cell
Density = 6.2 g/cm3
Size of the total moment = 5.2 μB per formula unit

Lattice parameters (Å, degrees): 4.1338 4.1338 6.1123 90.00 90.00 90.00
With the nearest neighbours (Å) after each atom.
Fractional positions:
I  0.0000  0.0000  0.5000  4 W 2.92, 2 Sc 3.06
Sc  0.0000  0.0000  0.0000  4 O 2.07
O  0.0000  0.5000  0.0000  2 Sc 2.07
O  0.5000  0.0000  0.0000  2 Sc 2.07
W  0.5000  0.5000  0.5000  4 I 2.92

[4]
ScWIO2: relaxed, PBE+U.

Properties
Polymorph energy (0 for the lowest one) = 0 meV per atom
Calculated volume = 110.49 Å³ per cell
Density = 5.8 g/cm3
Size of the total moment = 3.2 μB per formula unit

Lattice parameters (Å, degrees): 3.9982 3.9982 6.9120 90.00 90.00 90.00
With the nearest neighbours (Å) after each atom.
Fractional positions:
I  0.0000  0.0000  0.5000  4 Sc 2.83
Sc  0.5000  0.5000  0.5000  4 I 2.83
O  0.0000  0.5000  0.0000  2 W 2.00
O  0.5000  0.0000  0.0000  2 W 2.00
W  0.0000  0.0000  0.0000  4 O 2.00